Here is a relaxed structure of Ti2MoRh from the Alexandria database. Energies are from PBE.

a = 5.711 Å, b = 5.711 Å, c = 5.711 Å
α = 152.24°, β = 130.03°, γ = 58.12°
Positions (direct):
Ti1 0.239 0.239 0.000
Ti2 0.761 0.761 0.000
Mo1 0.500 0.500 0.000
Rh1 0.000 0.000 0.000

Properties
Crystal system ... orthorhombic
Energy ... -8.271 eV/atom